(1)
## SrLaS2Cl (PBE)

Data for an optimized crystal structure of SrLaS2Cl.

Cell: 5.473 5.473 5.157 Å, 90.00 90.00 90.00°
Positions (direct):
Sr1 0.000 0.000 0.000
La1 0.500 0.500 0.500
S1 0.000 0.500 0.000
S2 0.500 0.000 0.000
Cl1 0.000 0.000 0.500

Computed properties:
- Symmetry: P4/mmm (123)
- ρ: 3.50 g cm⁻³
- Uncorrected energy: -4.640 eV/atom
- Volume: 154.5 Å³/f.u.
- ΔE_f (raw): -1.30 eV/atom

(2)
## In2Au2F (PBE)

Data for an optimized crystal structure of In2Au2F.

Cell: 7.210 7.210 4.026 Å, 90.00 90.00 90.00°
Positions (direct):
In1 0.180 0.320 0.000
In2 0.320 0.820 0.000
In3 0.680 0.180 0.000
In4 0.820 0.680 0.000
Au1 0.133 0.633 0.500
Au2 0.367 0.133 0.500
Au3 0.633 0.867 0.500
Au4 0.867 0.367 0.500
F1 0.000 0.000 0.000
F2 0.500 0.500 0.000

Computed properties:
- Symmetry: P4/mbm (127)
- ρ: 10.20 g cm⁻³
- Uncorrected energy: -3.397 eV/atom
- Volume: 104.6 Å³/f.u.
- ΔE_f (raw): -0.62 eV/atom

(3)
## K2YSe (PBE)

Data for an optimized crystal structure of K2YSe.

Cell: 6.526 6.526 4.262 Å, 90.00 90.00 125.91°
Positions (direct):
K1 0.000 0.500 0.000
K2 0.500 0.000 0.000
Y1 0.000 0.000 0.500
Se1 0.500 0.500 0.500

Computed properties:
- Symmetry: Cmmm (65)
- ρ: 2.78 g cm⁻³
- Uncorrected energy: -3.226 eV/atom
- Volume: 147.0 Å³/f.u.
- ΔE_f (raw): -0.19 eV/atom

(4)
## MgScOs2 (PBE)

Data for an optimized crystal structure of MgScOs2.

Cell: 5.802 5.802 5.802 Å, 101.87 101.87 126.06°
Positions (direct):
Mg1 0.000 0.000 0.000
Mg2 0.750 0.250 0.500
Sc1 0.250 0.750 0.500
Sc2 0.500 0.500 0.000
Os1 0.121 0.625 0.996
Os2 0.375 0.371 0.496
Os3 0.629 0.125 0.004
Os4 0.875 0.879 0.504

Computed properties:
- Symmetry: I-42d (122)
- Formation energy from the elements: 0.635 eV/atom
- ρ: 10.61 g cm⁻³
- Uncorrected energy: -6.961 eV/atom
- Volume: 70.4 Å³/f.u.

(5)
## Pa3As4Pd7 (PBE)

Data for an optimized crystal structure of Pa3As4Pd7.

Cell: 8.028 8.028 9.612 Å, 123.21 123.21 30.14°
Positions (direct):
Pa1 0.000 0.000 0.000
Pa2 0.317 0.317 0.321
Pa3 0.683 0.683 0.679
As1 0.107 0.107 0.825
As2 0.348 0.348 0.762
As3 0.652 0.652 0.238
As4 0.893 0.893 0.175
Pd1 0.000 0.000 0.500
Pd2 0.169 0.169 0.441
Pd3 0.313 0.313 0.989
Pd4 0.484 0.484 0.686
Pd5 0.516 0.516 0.314
Pd6 0.687 0.687 0.011
Pd7 0.831 0.831 0.559

Computed properties:
- Symmetry: C2/m (12)
- Formation energy from the elements: -0.749 eV/atom
- ρ: 11.26 g cm⁻³
- Uncorrected energy: -6.709 eV/atom
- Volume: 256.2 Å³/f.u.

(6)
## CsNpS2 (PBE)

Data for an optimized crystal structure of CsNpS2.

Cell: 3.558 3.558 8.158 Å, 90.00 90.00 90.00°
Positions (direct):
Cs1 0.000 0.000 0.000
Np1 0.000 0.000 0.500
S1 0.500 0.500 0.311
S2 0.500 0.500 0.689

Computed properties:
- Symmetry: P4/mmm (123)
- ρ: 6.98 g cm⁻³
- Uncorrected energy: -6.680 eV/atom
- Volume: 103.3 Å³/f.u.
- ΔE_f (raw): -1.17 eV/atom